[1]
This record from Alexandria via LeMat-Bulk describes a relaxed structure of YInOs2. The functional is GGA-PBEsol.

Lattice parameters (Å, degrees): 5.2093 5.2093 5.2093 134.49 134.49 66.32
Last column: nearest neighbours and their distance in Å.
Atoms (fractional coordinates):
Y 0.0000 0.0000 0.0000  8 Os 2.85-2.97, 4 In 2.97
In 0.7500 0.2500 0.5000  8 Os 2.85-2.97, 4 Y 2.97
Os 0.2500 0.7500 0.5000  4 In 2.85, 4 Os 2.97, 4 Y 2.97
Os 0.5000 0.5000 0.0000  4 Y 2.85, 4 Os 2.97, 4 In 2.97

Electronic total energy = -8.220 eV/atom
Formation energy from the elements = 0.339 eV/atom



[2]
This record from Alexandria via LeMat-Bulk describes a relaxed structure of Cd2HPd. The functional is GGA-PBEsol.

Lattice parameters (Å, degrees): 5.3667 5.3667 5.3667 105.65 105.65 117.41
Last column: nearest neighbours and their distance in Å.
Atoms (fractional coordinates):
Cd 0.0514 0.6250 0.9264  2 H 2.10
Cd 0.3750 0.3014 0.4264  2 H 2.10
Cd 0.6986 0.1250 0.0736  2 H 2.10
Cd 0.8750 0.9486 0.5736  2 H 2.10
H 0.0000 0.0000 0.0000  4 Cd 2.10
H 0.7500 0.2500 0.5000  4 Cd 2.10
Pd 0.2500 0.7500 0.5000  8 Cd 2.74-2.88, 2 H 2.79
Pd 0.5000 0.5000 0.0000  8 Cd 2.74-2.88, 2 H 2.79

Electronic total energy = -2.798 eV/atom